K4NiW after structural relaxation, computed with PBE-GGA.

## Properties
E   -0.16200 Ry/atom
M_tot   5.3 μB/f.u.
Formation enthalpy at 0 K   1.650 eV/atom

Cell lengths 6.8706, 6.8706, 6.8706 Å; angles 60.00, 60.00, 60.00 degrees
Last column: nearest neighbours and their distance in Å.
Positions (direct):
K 0.1248 0.1248 0.1248  6 K 3.43-3.44
K 0.1248 0.1248 0.6256  6 K 3.43-3.44
K 0.1248 0.6256 0.1248  6 K 3.43-3.44
K 0.6256 0.1248 0.1248  6 K 3.43-3.44
Ni 0.7500 0.7500 0.7500  12 K 4.03, 4 W 4.21
W 0.5000 0.5000 0.5000  12 K 4.03, 4 Ni 4.21